Compound: InNiIr2
Source: Alexandria via LeMat-Bulk
Functional: SCAN
Structure: single point on PBEsol structure

Calculated values
Energy ... -762.8 eV/cell
Density of states at the Fermi level ... 4.49 states/eV/f.u.
Volume ... 14.7 Å³/atom
Mass density ... 15.81 g/cm³

Unit cell a=6.1659 b=6.1659 c=6.1659 alpha=90.00 beta=90.00 gamma=90.00
Element x y z (fractional)
In 0.0000 0.0000 0.0000
In 0.0000 0.5000 0.5000
In 0.5000 0.0000 0.5000
In 0.5000 0.5000 0.0000
Ni 0.2500 0.2500 0.7500
Ni 0.2500 0.7500 0.2500
Ni 0.7500 0.2500 0.2500
Ni 0.7500 0.7500 0.7500
Ir 0.0000 0.0000 0.5000
Ir 0.0000 0.5000 0.0000
Ir 0.2500 0.2500 0.2500
Ir 0.2500 0.7500 0.7500
Ir 0.5000 0.0000 0.0000
Ir 0.5000 0.5000 0.5000
Ir 0.7500 0.2500 0.7500
Ir 0.7500 0.7500 0.2500


Compound: InNi6Ir
Source: Alexandria via LeMat-Bulk
Functional: SCAN
Structure: single point on PBEsol structure

Calculated values
Energy ... -805.7 eV/cell
Density of states at the Fermi level ... 7.94 states/eV/f.u.
Volume ... 11.8 Å³/atom
Mass density ... 11.55 g/cm³

Unit cell a=6.2682 b=6.2682 c=10.2420 alpha=90.00 beta=90.00 gamma=109.63
Element x y z (fractional)
In 0.0000 0.0000 0.2489
In 0.0000 0.0000 0.7511
In 0.2459 0.7541 0.5000
In 0.7541 0.2459 0.5000
Ni 0.0000 0.0000 0.0000
Ni 0.0000 0.0000 0.5000
Ni 0.1286 0.3827 0.1220
Ni 0.1286 0.3827 0.8780
Ni 0.1349 0.3807 0.3711
Ni 0.1349 0.3807 0.6289
Ni 0.2545 0.7455 0.2428
Ni 0.2545 0.7455 0.7572
Ni 0.3807 0.1349 0.3711
Ni 0.3807 0.1349 0.6289
Ni 0.3827 0.1286 0.1220
Ni 0.3827 0.1286 0.8780
Ni 0.5000 0.5000 0.0000
Ni 0.5000 0.5000 0.5000
Ni 0.6173 0.8714 0.1220
Ni 0.6173 0.8714 0.8780
Ni 0.6193 0.8651 0.3711
Ni 0.6193 0.8651 0.6289
Ni 0.7455 0.2545 0.2428
Ni 0.7455 0.2545 0.7572
Ni 0.8651 0.6193 0.3711
Ni 0.8651 0.6193 0.6289
Ni 0.8714 0.6173 0.1220
Ni 0.8714 0.6173 0.8780
Ir 0.2438 0.7562 0.0000
Ir 0.5000 0.5000 0.2470
Ir 0.5000 0.5000 0.7530
Ir 0.7562 0.2438 0.0000


Compound: InNi2Ir
Source: Alexandria via LeMat-Bulk
Functional: SCAN
Structure: single point on PBEsol structure

Calculated values
Energy ... -272.1 eV/cell
Density of states at the Fermi level ... 3.94 states/eV/f.u.
Volume ... 13.8 Å³/atom
Mass density ... 12.80 g/cm³

Unit cell a=2.9978 b=4.3756 c=8.3962 alpha=90.00 beta=90.00 gamma=90.00
Element x y z (fractional)
In 0.0000 0.0000 0.0000
In 0.5000 0.5000 0.5000
Ni 0.0000 0.5000 0.2456
Ni 0.0000 0.5000 0.7544
Ni 0.5000 0.0000 0.2544
Ni 0.5000 0.0000 0.7456
Ir 0.0000 0.0000 0.5000
Ir 0.5000 0.5000 0.0000


Compound: InNiIr3
Source: Alexandria via LeMat-Bulk
Functional: SCAN
Structure: single point on PBEsol structure

Calculated values
Energy ... -256.3 eV/cell
Density of states at the Fermi level ... 4.96 states/eV/f.u.
Volume ... 17.5 Å³/atom
Mass density ... 14.23 g/cm³

Unit cell a=4.4400 b=4.4400 c=4.4400 alpha=90.00 beta=90.00 gamma=90.00
Element x y z (fractional)
In 0.0000 0.0000 0.0000
Ni 0.5000 0.5000 0.5000
Ir 0.0000 0.5000 0.5000
Ir 0.5000 0.0000 0.5000
Ir 0.5000 0.5000 0.0000